[1]
A plane-wave DFT calculation with GGA-PBE was carried out for an optimized crystal structure of TbHo6Tl.

a = 4.883 Å, b = 4.883 Å, c = 9.999 Å
α = 90.00°, β = 90.00°, γ = 90.00°
Atoms (fractional coordinates):
Tb  0.000  0.000  0.000
Ho  0.000  0.500  0.255
Ho  0.000  0.500  0.745
Ho  0.500  0.000  0.255
Ho  0.500  0.000  0.745
Ho  0.500  0.500  0.000
Ho  0.500  0.500  0.500
Tl  0.000  0.000  0.500

Computed properties:
**E above lowest polymorph**: 0 meV/atom
**Formation energy**: -0.0724 eV/atom
**Crystal system**: tetragonal
**Magnetic moment**: 0.00 μB per cell



[2]
A plane-wave DFT calculation with GGA-PBE was carried out for an optimized crystal structure of BaAgMoS2.

a = 4.664 Å, b = 4.664 Å, c = 6.506 Å
α = 90.00°, β = 90.00°, γ = 90.00°
Atoms (fractional coordinates):
Ba  0.000  0.000  0.000
Ag  0.500  0.500  0.000
Mo  0.000  0.000  0.500
S  0.000  0.500  0.500
S  0.500  0.000  0.500

Computed properties:
**Crystal system**: tetragonal
**ΔE_f (raw)**: -34 meV per atom
**Magnetic moment**: 0.25 μB per cell



[3]
A plane-wave DFT calculation with GGA-PBE was carried out for an optimized crystal structure of Ba2I2Br.

a = 9.895 Å, b = 6.985 Å, c = 14.331 Å
α = 90.00°, β = 90.00°, γ = 90.00°
Atoms (fractional coordinates):
Ba  0.091  0.250  0.234
Ba  0.139  0.250  0.582
Ba  0.361  0.750  0.082
Ba  0.409  0.750  0.734
Ba  0.591  0.250  0.266
Ba  0.639  0.250  0.918
Ba  0.861  0.750  0.418
Ba  0.909  0.750  0.766
I  0.091  0.750  0.235
I  0.141  0.750  0.573
I  0.359  0.250  0.073
I  0.409  0.250  0.735
I  0.591  0.750  0.265
I  0.641  0.750  0.927
I  0.859  0.250  0.427
I  0.909  0.250  0.765
Br  0.178  0.750  0.894
Br  0.322  0.250  0.394
Br  0.678  0.750  0.606
Br  0.822  0.250  0.106

Computed properties:
**E above lowest polymorph**: 8 meV/atom
**Crystal system**: orthorhombic
**ΔE_f (raw)**: -1659 meV per atom
**Magnetic moment**: 0.00 μB per cell



[4]
A plane-wave DFT calculation with GGA-PBE was carried out for an optimized crystal structure of K2HgBi2.

a = 6.798 Å, b = 6.798 Å, c = 9.563 Å
α = 96.62°, β = 96.62°, γ = 63.32°
Atoms (fractional coordinates):
K  0.020  0.302  0.153
K  0.302  0.020  0.653
K  0.698  0.980  0.347
K  0.980  0.698  0.847
Hg  0.409  0.591  0.250
Hg  0.591  0.409  0.750
Bi  0.208  0.553  0.500
Bi  0.447  0.792  0.000
Bi  0.553  0.208  0.000
Bi  0.792  0.447  0.500

Computed properties:
**E above lowest polymorph**: 11 meV/atom
**Formation energy**: -0.2877 eV/atom
**Crystal system**: monoclinic
**Magnetic moment**: 0.00 μB per cell



What did the second record say?
A plane-wave DFT calculation with GGA-PBE was carried out for an optimized crystal structure of BaAgMoS2.

a = 4.664 Å, b = 4.664 Å, c = 6.506 Å
α = 90.00°, β = 90.00°, γ = 90.00°
Atoms (fractional coordinates):
Ba  0.000  0.000  0.000
Ag  0.500  0.500  0.000
Mo  0.000  0.000  0.500
S  0.000  0.500  0.500
S  0.500  0.000  0.500

Computed properties:
**Crystal system**: tetragonal
**ΔE_f (raw)**: -34 meV per atom
**Magnetic moment**: 0.25 μB per cell



What is the magnetic moment in the second record? 0.25 μB per cell